A plane-wave DFT calculation with PBEsol was carried out for LiY2Mo after structural relaxation.

a b c (Å): 3.3838 3.3838 29.7941
angles (deg): 90.00 90.00 120.00
Closest atoms and distances in Å follow each position.
Fractional positions:
Li (0.0000, 0.0000, 0.0000)  6 Li 3.38, 6 Y 3.48
Li (0.3333, 0.6667, 0.6667)  6 Li 3.38, 6 Y 3.48
Li (0.6667, 0.3333, 0.3333)  6 Li 3.38, 6 Y 3.48
Y (0.0000, 0.0000, 0.2366)  3 Mo 2.86
Y (0.0000, 0.0000, 0.7634)  3 Mo 2.86
Y (0.3333, 0.6667, 0.4300)  3 Mo 2.86
Y (0.3333, 0.6667, 0.9033)  3 Mo 2.86
Y (0.6667, 0.3333, 0.0967)  3 Mo 2.86
Y (0.6667, 0.3333, 0.5700)  3 Mo 2.86
Mo (0.0000, 0.0000, 0.5000)  6 Y 2.86
Mo (0.3333, 0.6667, 0.1667)  6 Y 2.86
Mo (0.6667, 0.3333, 0.8333)  6 Y 2.86

**ΔE to the lowest computed polymorph**: 0.00 eV/f.u.
**E_form**: 1.746 eV/f.u.
**D(E_F)**: 1.528 states/eV per atom
**Electronic total energy**: -6.408 eV per atom
**Space group**: No. 166

***

A plane-wave DFT calculation with PBEsol was carried out for Ba2SbAs after structural relaxation.

a b c (Å): 12.0440 4.7064 5.0926
angles (deg): 90.00 99.16 90.00
Closest atoms and distances in Å follow each position.
Fractional positions:
Ba (0.0000, 0.0000, 0.0000)  1 As 3.26, 4 Sb 3.42-3.59, 1 Ba 3.57
Ba (0.2439, 0.5000, 0.5378)  4 As 3.36-3.61, 3 Sb 3.42-3.55, 1 Ba 3.57
Ba (0.5000, 0.5000, 0.0000)  1 As 3.26, 4 Sb 3.42-3.59, 1 Ba 3.57
Ba (0.7439, 0.0000, 0.5378)  4 As 3.36-3.61, 3 Sb 3.42-3.55, 1 Ba 3.57
Sb (0.4566, 0.0000, 0.4600)  1 As 2.68
Sb (0.9566, 0.5000, 0.4600)  1 As 2.68
As (0.2744, 0.0000, 0.0830)  1 Sb 2.68
As (0.7744, 0.5000, 0.0830)  1 Sb 2.68

**ΔE to the lowest computed polymorph**: 0.00 eV/f.u.
**D(E_F)**: 0.118 states/eV per atom
**ΔE_f (raw)**: -0.9531 eV per atom
**Electronic total energy**: -4.443 eV per atom
**Space group**: No. 8

***

A plane-wave DFT calculation with PBEsol was carried out for In3NiF after structural relaxation.

a b c (Å): 4.8037 4.8037 4.8037
angles (deg): 90.00 90.00 90.00
Closest atoms and distances in Å follow each position.
Fractional positions:
In (0.0000, 0.0000, 0.5000)  2 Ni 2.40
In (0.0000, 0.5000, 0.0000)  2 Ni 2.40
In (0.5000, 0.0000, 0.0000)  2 Ni 2.40
Ni (0.0000, 0.0000, 0.0000)  6 In 2.40
F (0.5000, 0.5000, 0.5000)  12 In 3.40

**D(E_F)**: 0.119 states/eV per atom
**ΔE_f (raw)**: -0.5399 eV per atom
**Electronic total energy**: -3.947 eV per atom
**Space group**: No. 221

***

A plane-wave DFT calculation with PBEsol was carried out for TaSbRh2 after structural relaxation.

a b c (Å): 3.0256 4.4782 4.9794
angles (deg): 90.00 102.81 90.00
Closest atoms and distances in Å follow each position.
Fractional positions:
Ta (0.0000, 0.0000, 0.0000)  7 Rh 2.56-2.85
Sb (0.7941, 0.5000, 0.4032)  7 Rh 2.62-2.79
Rh (0.3202, 0.0000, 0.5201)  3 Ta 2.56-2.79, 4 Sb 2.73-2.79, 2 Rh 2.81
Rh (0.4940, 0.5000, 0.8672)  3 Sb 2.62-2.77, 4 Ta 2.71-2.85, 2 Rh 2.81

**D(E_F)**: 0.566 states/eV per atom
**ΔE_f (raw)**: -0.2873 eV per atom
**Electronic total energy**: -8.634 eV per atom
**Space group**: No. 6

***

A plane-wave DFT calculation with PBEsol was carried out for Li5Mg3 after structural relaxation.

a b c (Å): 8.3477 8.3477 5.5002
angles (deg): 90.00 90.00 120.00
Closest atoms and distances in Å follow each position.
Fractional positions:
Li (0.0000, 0.2305, 0.2500)  5 Mg 2.94-3.11
Li (0.0000, 0.7695, 0.7500)  5 Mg 2.94-3.11
Li (0.2305, 0.0000, 0.2500)  5 Mg 2.94-3.11
Li (0.2305, 0.2305, 0.7500)  5 Mg 2.94-3.11
Li (0.3333, 0.6667, 0.0000)  2 Li 2.75, 6 Mg 2.88
Li (0.3333, 0.6667, 0.5000)  2 Li 2.75, 6 Mg 2.88
Li (0.6667, 0.3333, 0.0000)  2 Li 2.75, 6 Mg 2.88
Li (0.6667, 0.3333, 0.5000)  2 Li 2.75, 6 Mg 2.88
Li (0.7695, 0.0000, 0.7500)  5 Mg 2.94-3.11
Li (0.7695, 0.7695, 0.2500)  5 Mg 2.94-3.11
Mg (0.0000, 0.4054, 0.7500)  9 Li 2.88-3.11, 2 Mg 3.17
Mg (0.0000, 0.5946, 0.2500)  9 Li 2.88-3.11, 2 Mg 3.17
Mg (0.4054, 0.0000, 0.7500)  9 Li 2.88-3.11, 2 Mg 3.17
Mg (0.4054, 0.4054, 0.2500)  9 Li 2.88-3.11, 2 Mg 3.17
Mg (0.5946, 0.0000, 0.2500)  9 Li 2.88-3.11, 2 Mg 3.17
Mg (0.5946, 0.5946, 0.7500)  9 Li 2.88-3.11, 2 Mg 3.17

**ΔE to the lowest computed polymorph**: 0.55 eV/f.u.
**E_form**: 0.175 eV/f.u.
**D(E_F)**: 0.479 states/eV per atom
**Electronic total energy**: -1.851 eV per atom
**Space group**: No. 193

***

A plane-wave DFT calculation with PBEsol was carried out for La2TlF after structural relaxation.

a b c (Å): 7.4690 7.4690 7.4690
angles (deg): 90.00 90.00 90.00
Closest atoms and distances in Å follow each position.
Fractional positions:
La (0.2500, 0.2500, 0.2500)  4 Tl 3.23, 4 F 3.23
La (0.2500, 0.2500, 0.7500)  4 F 3.23, 4 Tl 3.23
La (0.2500, 0.7500, 0.2500)  4 F 3.23, 4 Tl 3.23
La (0.2500, 0.7500, 0.7500)  4 Tl 3.23, 4 F 3.23
La (0.7500, 0.2500, 0.2500)  4 F 3.23, 4 Tl 3.23
La (0.7500, 0.2500, 0.7500)  4 Tl 3.23, 4 F 3.23
La (0.7500, 0.7500, 0.2500)  4 Tl 3.23, 4 F 3.23
La (0.7500, 0.7500, 0.7500)  4 F 3.23, 4 Tl 3.23
Tl (0.0000, 0.0000, 0.0000)  8 La 3.23
Tl (0.0000, 0.5000, 0.5000)  8 La 3.23
Tl (0.5000, 0.0000, 0.5000)  8 La 3.23
Tl (0.5000, 0.5000, 0.0000)  8 La 3.23
F (0.0000, 0.0000, 0.5000)  8 La 3.23
F (0.0000, 0.5000, 0.0000)  8 La 3.23
F (0.5000, 0.0000, 0.0000)  8 La 3.23
F (0.5000, 0.5000, 0.5000)  8 La 3.23

**D(E_F)**: 0.994 states/eV per atom
**ΔE_f (raw)**: -1.0644 eV per atom
**Electronic total energy**: -4.877 eV per atom
**Space group**: No. 225